The following is a PBE calculation of crystalline RbSrAs3 at its relaxed geometry, from Alexandria.

a = 5.5766 Å, b = 5.5766 Å, c = 5.5766 Å
α = 90.00°, β = 90.00°, γ = 90.00°
Last column: nearest neighbours and their distance in Å.
Element x y z (fractional)
Sr: 0.5000 0.5000 0.5000  12 As 3.94
As: 0.0000 0.5000 0.0000  2 Rb 2.79
As: 0.0000 0.0000 0.5000  2 Rb 2.79
As: 0.5000 0.0000 0.0000  2 Rb 2.79
Rb: 0.0000 0.0000 0.0000  6 As 2.79

## Properties
- M_tot: 0.0 μB/cell
- V: 173.4 Å³/f.u.
- DOS at the Fermi energy: 0.853 states/eV/atom
- E above lowest polymorph: 443 meV per atom